First-principles (PBE-GGA) data for a geometry-optimized GeHCS2 structure, as listed in the Alexandria database.

a b c (Å): 3.923 3.923 4.849
angles (deg): 90.00 90.00 90.00
Space group P4/mmm (No. 123)
One atom of each set of equivalent atoms:
Ge 0.000 0.000 0.000 [1 per cell]
H 0.500 0.500 0.000 [1 per cell]
C 0.000 0.000 0.500 [1 per cell]
S 0.000 0.500 0.500 [2 per cell]

Computed properties:
- Energy: -3.69 eV/atom